The following is a PBE calculation of a relaxed KIn8Pd2 crystal, from Alexandria via LeMat-Bulk.

Unit cell a=6.3818 b=6.3818 c=9.3481 alpha=90.00 beta=90.00 gamma=90.00
Element x y z (fractional)
1 K 0.0000 0.0000 0.0000
2 In 0.2515 0.2515 0.3233
3 In 0.2515 0.2515 0.6767
4 In 0.2515 0.7485 0.3233
5 In 0.2515 0.7485 0.6767
6 In 0.7485 0.2515 0.3233
7 In 0.7485 0.2515 0.6767
8 In 0.7485 0.7485 0.3233
9 In 0.7485 0.7485 0.6767
10 Pd 0.0000 0.5000 0.5000
11 Pd 0.5000 0.0000 0.5000

Output
Density of states at the Fermi level ... 7.4 states/eV/f.u.
Space-group type ... P4/mmm
Formation energy ... -7.04 kJ per mole of atoms